# 1
## ZrReAs2 (GGA-PBE)

Data for an optimized crystal structure of ZrReAs2.

Calculated values
DFT formation energy in meV per atom: -198
Spin magnetization in μB per atom: 0.00

a = 4.552 Å, b = 4.552 Å, c = 4.552 Å
α = 60.00°, β = 60.00°, γ = 60.00°
Fractional positions:
Zr  0.000  0.000  0.000
Re  0.500  0.500  0.500
As  0.250  0.250  0.250
As  0.750  0.750  0.750



# 2
## Cu2Re (GGA-PBE)

Data for an optimized crystal structure of Cu2Re.

Calculated values
DFT formation energy in meV per atom: 226
Spin magnetization in μB per atom: 0.00

a = 2.660 Å, b = 2.660 Å, c = 6.503 Å
α = 90.00°, β = 90.00°, γ = 120.00°
Fractional positions:
Cu  0.333  0.667  0.159
Cu  0.667  0.333  0.841
Re  0.000  0.000  0.500



# 3
## Dy6Ti4Al43 (GGA-PBE)

Data for an optimized crystal structure of Dy6Ti4Al43.

Calculated values
DFT formation energy in meV per atom: -340
Spin magnetization in μB per atom: 0.00

a = 11.086 Å, b = 11.086 Å, c = 17.778 Å
α = 90.00°, β = 90.00°, γ = 120.00°
Fractional positions:
Dy  0.000  0.472  0.096
Dy  0.000  0.472  0.404
Dy  0.000  0.528  0.596
Dy  0.000  0.528  0.904
Dy  0.472  0.000  0.096
Dy  0.472  0.000  0.404
Dy  0.472  0.472  0.596
Dy  0.472  0.472  0.904
Dy  0.528  0.000  0.596
Dy  0.528  0.000  0.904
Dy  0.528  0.528  0.096
Dy  0.528  0.528  0.404
Ti  0.000  0.000  0.000
Ti  0.000  0.000  0.500
Ti  0.000  0.272  0.250
Ti  0.000  0.728  0.750
Ti  0.272  0.000  0.250
Ti  0.272  0.272  0.750
Ti  0.728  0.000  0.750
Ti  0.728  0.728  0.250
Al  0.000  0.147  0.750
Al  0.000  0.156  0.116
Al  0.000  0.156  0.384
Al  0.000  0.253  0.529
Al  0.000  0.253  0.971
Al  0.000  0.747  0.029
Al  0.000  0.747  0.471
Al  0.000  0.844  0.616
Al  0.000  0.844  0.884
Al  0.000  0.853  0.250
Al  0.147  0.000  0.750
Al  0.147  0.147  0.250
Al  0.149  0.553  0.250
Al  0.149  0.595  0.750
Al  0.156  0.000  0.116
Al  0.156  0.000  0.384
Al  0.156  0.156  0.616
Al  0.156  0.156  0.884
Al  0.160  0.394  0.663
Al  0.160  0.394  0.837
Al  0.160  0.766  0.163
Al  0.160  0.766  0.337
Al  0.234  0.394  0.163
Al  0.234  0.394  0.337
Al  0.234  0.840  0.663
Al  0.234  0.840  0.837
Al  0.247  0.494  0.000
Al  0.247  0.494  0.500
Al  0.247  0.753  0.000
Al  0.247  0.753  0.500
Al  0.253  0.000  0.529
Al  0.253  0.000  0.971
Al  0.253  0.253  0.029
Al  0.253  0.253  0.471
Al  0.333  0.667  0.126
Al  0.333  0.667  0.374
Al  0.333  0.667  0.626
Al  0.333  0.667  0.874
Al  0.394  0.160  0.663
Al  0.394  0.160  0.837
Al  0.394  0.234  0.163
Al  0.394  0.234  0.337
Al  0.405  0.553  0.750
Al  0.405  0.851  0.250
Al  0.447  0.595  0.250
Al  0.447  0.851  0.750
Al  0.494  0.247  0.000
Al  0.494  0.247  0.500
Al  0.506  0.753  0.000
Al  0.506  0.753  0.500
Al  0.553  0.149  0.250
Al  0.553  0.405  0.750
Al  0.595  0.149  0.750
Al  0.595  0.447  0.250
Al  0.606  0.766  0.663
Al  0.606  0.766  0.837
Al  0.606  0.840  0.163
Al  0.606  0.840  0.337
Al  0.667  0.333  0.126
Al  0.667  0.333  0.374
Al  0.667  0.333  0.626
Al  0.667  0.333  0.874
Al  0.747  0.000  0.029
Al  0.747  0.000  0.471
Al  0.747  0.747  0.529
Al  0.747  0.747  0.971
Al  0.753  0.247  0.000
Al  0.753  0.247  0.500
Al  0.753  0.506  0.000
Al  0.753  0.506  0.500
Al  0.766  0.160  0.163
Al  0.766  0.160  0.337
Al  0.766  0.606  0.663
Al  0.766  0.606  0.837
Al  0.840  0.234  0.663
Al  0.840  0.234  0.837
Al  0.840  0.606  0.163
Al  0.840  0.606  0.337
Al  0.844  0.000  0.616
Al  0.844  0.000  0.884
Al  0.844  0.844  0.116
Al  0.844  0.844  0.384
Al  0.851  0.405  0.250
Al  0.851  0.447  0.750
Al  0.853  0.000  0.250
Al  0.853  0.853  0.750



# 4
## YTeCl2 (GGA-PBE)

Data for an optimized crystal structure of YTeCl2.

Calculated values
Formation energy without anion corrections in meV per atom: -1472
Spin magnetization in μB per atom: 0.00

a = 7.446 Å, b = 7.446 Å, c = 7.446 Å
α = 152.91°, β = 132.62°, γ = 55.43°
Fractional positions:
Y  0.000  0.000  0.000
Te  0.500  0.500  0.000
Cl  0.152  0.652  0.500
Cl  0.848  0.348  0.500



# 5
## Ac4LaNd7 (GGA-PBE)

Data for an optimized crystal structure of Ac4LaNd7.

Calculated values
DFT formation energy in meV per atom: 31
Spin magnetization in μB per atom: 0.00

a = 3.811 Å, b = 3.811 Å, c = 36.891 Å
α = 90.00°, β = 90.00°, γ = 120.00°
Fractional positions:
Ac  0.333  0.667  0.165
Ac  0.333  0.667  0.415
Ac  0.667  0.333  0.585
Ac  0.667  0.333  0.835
La  0.000  0.000  0.000
Nd  0.000  0.000  0.250
Nd  0.000  0.000  0.500
Nd  0.000  0.000  0.750
Nd  0.333  0.667  0.670
Nd  0.333  0.667  0.919
Nd  0.667  0.333  0.081
Nd  0.667  0.333  0.330



# 6
## DyYMnAl (GGA-PBE)

Data for an optimized crystal structure of DyYMnAl.

Calculated values
DFT formation energy in meV per atom: -80
Spin magnetization in μB per atom: 0.84

a = 5.088 Å, b = 5.088 Å, c = 5.088 Å
α = 60.00°, β = 60.00°, γ = 60.00°
Fractional positions:
Dy  0.000  0.000  0.000
Y  0.500  0.500  0.500
Mn  0.750  0.750  0.750
Al  0.250  0.250  0.250



# 7
## TlHgPO2 (GGA-PBE)

Data for an optimized crystal structure of TlHgPO2.

Calculated values
Formation energy without anion corrections in meV per atom: 488
Spin magnetization in μB per atom: 0.00

a = 4.128 Å, b = 4.128 Å, c = 5.671 Å
α = 90.00°, β = 90.00°, γ = 90.00°
Fractional positions:
Tl  0.000  0.000  0.000
Hg  0.500  0.500  0.500
P  0.000  0.000  0.500
O  0.000  0.500  0.000
O  0.500  0.000  0.000



# 8
## Mg2AsPb (GGA-PBE)

Data for an optimized crystal structure of Mg2AsPb.

Calculated values
DFT formation energy in meV per atom: -97
Spin magnetization in μB per atom: 0.00

a = 5.086 Å, b = 5.086 Å, c = 3.629 Å
α = 91.01°, β = 91.01°, γ = 102.64°
Fractional positions:
Mg  0.000  0.500  0.000
Mg  0.500  0.000  0.000
As  0.000  0.000  0.500
Pb  0.500  0.500  0.500



Question: Look up the spin magnetization of the seventh one.
Answer: 0.00 μB per atom



Question: spin magnetization of number 5 (Ac4LaNd7)?
Answer: 0.00 μB per atom